# 1
# Ni2C (PBE-GGA, optimized geometry)
data_Ni2C
_chemical_formula_sum 'Ni8 C4'
_cell_length_a 4.7694
_cell_length_b 4.7694
_cell_length_c 4.6199
_cell_angle_alpha 90.00
_cell_angle_beta 90.00
_cell_angle_gamma 90.00
_space_group_name_H-M_alt 'I 4/m c m'
_space_group_IT_number 140
_space_group_name_Hall '-I 4 2c'
loop_
_atom_site_label
_atom_site_fract_x
_atom_site_fract_y
_atom_site_fract_z
Ni1 0.1877 0.3123 0.0000
C1 0.0000 0.0000 0.2500
# Total magnetization: 0.00 μB/f.u.
# ΔE_f: 508 meV/atom
# ΔE to the lowest computed polymorph: 330 meV/atom

# 2
# NiC5 (PBE-GGA, optimized geometry)
data_NiC5
_chemical_formula_sum 'Ni4 C20'
_cell_length_a 5.8456
_cell_length_b 5.8456
_cell_length_c 5.8456
_cell_angle_alpha 90.00
_cell_angle_beta 90.00
_cell_angle_gamma 90.00
_space_group_name_H-M_alt 'F -4 3 m'
_space_group_IT_number 216
_space_group_name_Hall 'F -4 2 3'
loop_
_atom_site_label
_atom_site_fract_x
_atom_site_fract_y
_atom_site_fract_z
Ni1 0.0000 0.0000 0.0000
C1 0.0950 0.0950 0.4050
C2 0.2500 0.2500 0.7500
# Total magnetization: 0.35 μB/f.u.
# ΔE_f: 3233 meV/atom
# ΔE to the lowest computed polymorph: 2826 meV/atom

# 3
# NiC3 (PBE-GGA, optimized geometry)
data_NiC3
_chemical_formula_sum 'Ni1 C3'
_cell_length_a 3.3980
_cell_length_b 3.3980
_cell_length_c 2.7018
_cell_angle_alpha 90.00
_cell_angle_beta 90.00
_cell_angle_gamma 90.00
_space_group_name_H-M_alt 'P 4/m m m'
_space_group_IT_number 123
_space_group_name_Hall '-P 4 2'
loop_
_atom_site_label
_atom_site_fract_x
_atom_site_fract_y
_atom_site_fract_z
Ni1 0.0000 0.0000 0.0000
C1 0.0000 0.5000 0.5000
C2 0.5000 0.5000 0.0000
# Total magnetization: 0.00 μB/f.u.
# ΔE_f: 2946 meV/atom
# ΔE to the lowest computed polymorph: 2294 meV/atom

# 4
# NiC4 (PBE-GGA, optimized geometry)
data_NiC4
_chemical_formula_sum 'Ni2 C8'
_cell_length_a 4.4169
_cell_length_b 4.4169
_cell_length_c 4.4169
_cell_angle_alpha 90.00
_cell_angle_beta 90.00
_cell_angle_gamma 90.00
_space_group_name_H-M_alt 'I m -3 m'
_space_group_IT_number 229
_space_group_name_Hall '-I 4 2 3'
loop_
_atom_site_label
_atom_site_fract_x
_atom_site_fract_y
_atom_site_fract_z
Ni1 0.0000 0.0000 0.0000
C1 0.2500 0.2500 0.2500
# Total magnetization: 0.00 μB/f.u.
# ΔE_f: 3107 meV/atom
# ΔE to the lowest computed polymorph: 2263 meV/atom